The following is a PBEsol calculation of ScTa2Ag after structural relaxation, from the Alexandria database.

Structure (CIF):
```
data_ScTa2Ag
_chemical_formula_sum 'Sc1 Ta2 Ag1'
_symmetry_space_group_name_H-M 'P m m 2'
_symmetry_Int_Tables_number 25
_symmetry_space_group_name_Hall 'P 2 -2'
_cell_length_a 3.0416
_cell_length_b 3.6471
_cell_length_c 6.6293
_cell_angle_alpha 90.00
_cell_angle_beta 90.00
_cell_angle_gamma 90.00
loop_
_atom_site_label
_atom_site_type_symbol
_atom_site_fract_x
_atom_site_fract_y
_atom_site_fract_z
Sc1 Sc 0.0000 0.0000 0.0000
Ta1 Ta 0.0000 0.0000 0.4912
Ta2 Ta 0.5000 0.5000 0.2669
Ag1 Ag 0.5000 0.5000 0.7472
```

E_tot: -8.6276 eV/atom
ΔH_f (0 K): 0.127 eV/atom
Magnetization: 0.00 μB/f.u.